Record 1
Here is a geometry-optimized TbNdTl structure from Alexandria via LeMat-Bulk. Energies are from PBE.

abc: 6.2346 6.2346 10.0754
angles: 90.00 90.00 90.00
Space group I4_1md (No. 109)
Symmetry-distinct sites (fractional):
Tb 0.0000 0.0000 0.0000
Nd 0.0000 0.0000 0.6347
Tl 0.0000 0.0000 0.3099

- Spin magnetization: 0.51 μB per formula unit
- Energy: -11.58 eV/f.u.
- Energy of formation: 0.2 eV/f.u.



Record 2
Here is a geometry-optimized Tb4Nd5Tl4 structure from Alexandria via LeMat-Bulk. Energies are from PBE.

abc: 12.6387 12.6387 5.1146
angles: 90.00 90.00 90.00
Space group I4/m (No. 87)
Symmetry-distinct sites (fractional):
Tb 0.0931 0.3962 0.0000
Nd 0.0000 0.0000 0.0000
Nd 0.1039 0.1924 0.5000
Tl 0.0990 0.7628 0.0000

- Spin magnetization: 0.00 μB per formula unit
- Energy: -55.08 eV/f.u.
- Energy of formation: -3.3 eV/f.u.